No. 1
DFT (PBE-GGA) results for a relaxed structure of CrPtRh2.

Results
SG ... Cm (8)

Structure (POSCAR):
```
CrPtRh2
1.0
-1.517 -1.468 -4.210
-1.635 -3.635 -2.508
-4.611 0.632 0.484
Cr Pt Rh
1 1 2
Direct
0.498 0.498 0.505
0.245 0.245 0.255
0.001 0.001 0.993
0.755 0.755 0.747
```

No. 2
DFT (PBE-GGA) results for a relaxed structure of CrPt2Rh.

Results
SG ... Cmmm (65)

Structure (POSCAR):
```
CrPt2Rh
1.0
-1.340 -1.331 -4.319
2.364 -3.526 2.049
-2.404 -0.999 1.054
Cr Pt Rh
1 2 1
Direct
0.000 0.500 0.500
0.000 0.000 0.000
0.500 0.500 0.000
0.500 0.000 0.500
```

no.,E_form (eV per atom)
1,-0.07
2,-0.16